Record 1
Density functional theory data (GGA-PBE) for a relaxed structure of Zn2In2SnPd5.

Lattice parameters (Å, degrees): 3.3633 10.2601 10.2601 90.00 90.00 90.00
With the nearest neighbours (Å) after each atom.
Element x y z (fractional)
1 Pd 0.5000 0.3732 0.3318  2 Zn 2.62, 2 Sn 2.74, 2 In 2.81
2 Pd 0.5000 0.1682 0.1268  2 Zn 2.62, 2 Sn 2.74, 2 In 2.81
3 Pd 0.5000 0.6682 0.3732  2 Zn 2.62, 2 Sn 2.74, 2 In 2.81
4 Zn 0.0000 0.3633 0.1367  6 Pd 2.60-2.62
5 Pd 0.5000 0.8732 0.1682  2 Zn 2.62, 2 Sn 2.74, 2 In 2.81
6 In 0.0000 0.6543 0.1543  6 Pd 2.80-2.81, 3 Zn 2.99-3.03
7 Pd 0.5000 0.3318 0.6268  2 Zn 2.62, 2 Sn 2.74, 2 In 2.81
8 Pd 0.5000 0.6268 0.6682  2 Zn 2.62, 2 Sn 2.74, 2 In 2.81
9 In 0.0000 0.1543 0.3457  6 Pd 2.80-2.81, 3 Zn 2.99-3.03
10 Pd 0.5000 0.8318 0.8732  2 Zn 2.62, 2 Sn 2.74, 2 In 2.81
11 Pd 0.5000 0.5000 0.0000  4 Zn 2.60, 4 In 2.80
12 In 0.0000 0.3457 0.8457  6 Pd 2.80-2.81, 3 Zn 2.99-3.03
13 Sn 0.0000 0.0000 0.0000  8 Pd 2.74
14 Pd 0.5000 0.1268 0.8318  2 Zn 2.62, 2 Sn 2.74, 2 In 2.81
15 Sn 0.0000 0.5000 0.5000  8 Pd 2.74
16 Zn 0.0000 0.1367 0.6367  6 Pd 2.60-2.62
17 Pd 0.5000 0.0000 0.5000  4 Zn 2.60, 4 In 2.80
18 Zn 0.0000 0.6367 0.8633  6 Pd 2.60-2.62
19 In 0.0000 0.8457 0.6543  6 Pd 2.80-2.81, 3 Zn 2.99-3.03
20 Zn 0.0000 0.8633 0.3633  6 Pd 2.60-2.62

Computed properties:
ΔH_f (0 K) (eV/atom): -0.413
Fermi-level density of states (states/eV/f.u.): 3.609

Record 2
Density functional theory data (GGA-PBE) for a relaxed structure of CePaSb3.

Lattice parameters (Å, degrees): 6.3110 6.0538 14.5656 90.00 90.00 90.00
With the nearest neighbours (Å) after each atom.
Element x y z (fractional)
1 Sb 0.5000 0.7500 0.5026  4 Sb 3.03-3.16, 4 Ce 3.30-3.33
2 Sb 0.7500 0.4764 0.2697  4 Ce 3.10-3.28, 1 Sb 3.14, 2 Pa 3.28
3 Sb 0.2500 0.2211 0.9050  3 Sb 3.14-3.17, 4 Pa 3.20-3.26
4 Pa 0.0000 0.7500 0.9041  2 Pa 3.16, 6 Sb 3.20-3.28
5 Ce 0.2500 0.5155 0.3294  8 Sb 3.10-3.33
6 Sb 0.5000 0.2500 0.4974  4 Sb 3.03-3.16, 4 Ce 3.30-3.33
7 Sb 0.2500 0.5236 0.7303  4 Ce 3.10-3.28, 1 Sb 3.14, 2 Pa 3.28
8 Ce 0.2500 0.0155 0.6706  8 Sb 3.10-3.33
9 Pa 0.0000 0.2500 0.0959  2 Pa 3.16, 6 Sb 3.20-3.28
10 Pa 0.5000 0.7500 0.9041  2 Pa 3.16, 6 Sb 3.20-3.28
11 Ce 0.7500 0.9845 0.3294  8 Sb 3.10-3.33
12 Sb 0.2500 0.7211 0.0950  3 Sb 3.14-3.17, 4 Pa 3.20-3.26
13 Sb 0.0000 0.7500 0.5026  4 Sb 3.03-3.16, 4 Ce 3.30-3.33
14 Sb 0.7500 0.7789 0.0950  3 Sb 3.14-3.17, 4 Pa 3.20-3.26
15 Ce 0.7500 0.4845 0.6706  8 Sb 3.10-3.33
16 Sb 0.7500 0.2789 0.9050  3 Sb 3.14-3.17, 4 Pa 3.20-3.26
17 Sb 0.0000 0.2500 0.4974  4 Sb 3.03-3.16, 4 Ce 3.30-3.33
18 Pa 0.5000 0.2500 0.0959  2 Pa 3.16, 6 Sb 3.20-3.28
19 Sb 0.2500 0.0236 0.2697  4 Ce 3.10-3.28, 1 Sb 3.14, 2 Pa 3.28
20 Sb 0.7500 0.9764 0.7303  4 Ce 3.10-3.28, 1 Sb 3.14, 2 Pa 3.28

Computed properties:
Uncorrected formation energy (meV/atom): -575
Fermi-level density of states (states/eV/f.u.): 9.370

Record 3
Density functional theory data (GGA-PBE) for a relaxed structure of La5PrN5.

Lattice parameters (Å, degrees): 5.3025 6.4448 7.4514 106.70 90.00 114.29
With the nearest neighbours (Å) after each atom.
Element x y z (fractional)
1 N 0.1723 0.3446 0.8358  5 La 2.49-2.68, 1 Pr 2.67
2 Pr 0.0000 0.0000 0.0000  6 N 2.64-2.67
3 La 0.3277 0.6553 0.6724  5 N 2.49-2.66
4 N 0.1628 0.3257 0.3374  5 La 2.57-2.72, 1 Pr 2.64
5 N 0.8372 0.6743 0.6626  5 La 2.57-2.72, 1 Pr 2.64
6 La 0.6707 0.3415 0.8460  5 N 2.50-2.72
7 La 0.0000 0.0000 0.5000  4 N 2.57-2.68
8 La 0.6723 0.3447 0.3276  5 N 2.49-2.66
9 La 0.3293 0.6585 0.1540  5 N 2.50-2.72
10 N 0.8277 0.6554 0.1642  5 La 2.49-2.68, 1 Pr 2.67
11 N 0.5000 0.0000 0.0000  4 La 2.61-2.63, 2 Pr 2.65

Computed properties:
Uncorrected formation energy (meV/atom): -1207
Fermi-level density of states (states/eV/f.u.): 3.669